*a*
DyHo2Tc, relaxed, DFT GGA-PBE; space-group type = R-3m
1.0
1.701 0.982 10.905
-1.701 0.982 10.905
0.000 -1.964 10.905
Dy Ho Tc
1 2 1
Direct
0.000 0.000 0.000
0.105 0.105 0.105
0.895 0.895 0.895
0.500 0.500 0.500

---

*b*
DyHo2Tc, relaxed, DFT GGA-PBE; space-group type = P4/mmm
1.0
3.445 0.000 0.000
0.000 3.445 0.000
0.000 0.000 8.819
Dy Ho Tc
1 2 1
Direct
0.000 0.000 0.000
0.500 0.500 0.314
0.500 0.500 0.686
0.000 0.000 0.500

---

Which one is most stable, and which one is least stable? *b* is the most stable of them, while *a* is the least stable.